Record 1
DFT (PBE) results for crystalline GeAs2H2 at its relaxed geometry.

The structure in POSCAR format:
```
GeAs2H2
1.0
5.0524 0.0000 0.0000
0.0000 5.0524 0.0000
2.5262 2.5262 2.7814
H As Ge
2 2 1
Cartesian
2.5262 2.5262 0.3833
5.0524 5.0524 2.3981
5.0524 2.5262 1.3907
2.5262 5.0524 1.3907
0.0000 0.0000 0.0000
```

Computed properties:
The value obtained for the offset from the most stable computed form is 20 meV/atom. The calculation puts the total energy at -18.823 eV for the cell shown. Its space-group type is No. 139.

=====

Record 2
DFT (PBE) results for crystalline Na6CeBr8 at its relaxed geometry.

The structure in POSCAR format:
```
Na6CeBr8
1.0
-5.5911 6.1782 -2.5025
-3.9695 -0.5931 -7.7191
-8.5157 -1.7388 -0.3903
Na Ce Br
6 1 8
Cartesian
-6.2426 -1.1659 -4.0547
-2.7956 3.0891 -1.2512
-4.7803 2.7925 -5.1108
-4.2579 -0.8694 -0.1951
-1.9847 -0.2965 -3.8596
-7.0534 2.2197 -1.4464
0.0000 0.0000 0.0000
-13.5572 2.8847 -7.9589
-4.5191 0.9616 -2.6530
-7.2798 4.0936 -3.8759
-10.7965 -0.2473 -6.7360
-8.7716 0.0552 -2.7985
-9.3046 3.7911 -7.8134
-11.6237 3.2067 -4.0750
-6.4526 0.6396 -6.5369
```

Computed properties:
Its raw formation energy is -1.52 eV per atom. The calculation puts the total energy at -50.000 eV for the cell shown. Its space-group type is No. 225.

=====

Record 3
DFT (PBE) results for crystalline SrRe4Ir at its relaxed geometry.

The structure in POSCAR format:
```
SrRe4Ir
1.0
0.0000 3.7582 3.7582
3.7582 0.0000 3.7582
3.7582 3.7582 0.0000
Sr Re Ir
1 4 1
Cartesian
5.6372 5.6372 5.6372
4.6969 2.8195 4.6969
2.8195 4.6969 4.6969
4.6969 4.6969 2.8195
2.8195 2.8195 2.8195
0.0000 0.0000 0.0000
```

Computed properties:
The calculation puts the total energy at -56.259 eV for the cell shown. Its space-group type is No. 216.

=====

Record 4
DFT (PBE) results for crystalline Y2TaMo at its relaxed geometry.

The structure in POSCAR format:
```
Y2TaMo
1.0
-0.4389 -4.0410 3.0329
-4.2213 -2.8087 -0.1129
0.1150 -4.6725 -1.9687
Y Mo Ta
2 1 1
Cartesian
-1.1363 -2.8806 0.2378
-3.4088 -8.6417 0.7135
0.0000 0.0000 0.0000
-2.2726 -5.7611 0.4757
```

Computed properties:
The value obtained for the offset from the most stable computed form is 542 meV/atom. The calculation puts the total energy at -32.896 eV for the cell shown. Its space-group type is No. 225.